Record 1
Below is crystalline La3NdY6 at its relaxed geometry, with properties calculated at the PBE-GGA level.

Values from the calculation:
SG   R3, No. 146
Distance to the lowest polymorph of the same formula   0.050 eV per atom
Calculated formation energy   0.26 eV/atom
Raw total energy   -55.707 eV/cell

abc: 6.9887 6.9887 6.9887
angles: 91.97 91.97 91.97
Positions (direct):
La (0.0000, 0.0000, 0.0000)
La (0.2484, 0.2484, 0.2484)
La (0.7511, 0.7511, 0.7511)
Nd (0.5002, 0.5002, 0.5002)
Y (0.0745, 0.4253, 0.7476)
Y (0.2517, 0.9251, 0.5744)
Y (0.4253, 0.7476, 0.0745)
Y (0.5744, 0.2517, 0.9251)
Y (0.7476, 0.0745, 0.4253)
Y (0.9251, 0.5744, 0.2517)

Record 2
Below is crystalline TiVCrSi at its relaxed geometry, with properties calculated at the PBE-GGA level.

Values from the calculation:
SG   F-43m, No. 216
Raw total energy   -33.211 eV/cell

abc: 4.2205 4.2205 4.2205
angles: 60.00 60.00 60.00
Positions (direct):
Ti (0.0000, 0.0000, 0.0000)
V (0.5000, 0.5000, 0.5000)
Cr (0.7500, 0.7500, 0.7500)
Si (0.2500, 0.2500, 0.2500)

Record 3
Below is crystalline AcLaHoEr2 at its relaxed geometry, with properties calculated at the PBE-GGA level.

Values from the calculation:
SG   P2_1/m, No. 11
Calculated formation energy   0.05 eV/atom
Raw total energy   -44.991 eV/cell

abc: 6.3907 5.8580 9.8109
angles: 90.00 108.84 90.00
Positions (direct):
Ac (0.0699, 0.2500, 0.3051)
Ac (0.9301, 0.7500, 0.6949)
La (0.1388, 0.7500, 0.0983)
La (0.8612, 0.2500, 0.9017)
Ho (0.3375, 0.7500, 0.5036)
Ho (0.6625, 0.2500, 0.4964)
Er (0.2785, 0.2500, 0.7045)
Er (0.4680, 0.2500, 0.0976)
Er (0.5320, 0.7500, 0.9024)
Er (0.7215, 0.7500, 0.2955)

Record 4
Below is crystalline Pu11Bi9Pd4 at its relaxed geometry, with properties calculated at the PBE-GGA level.

Values from the calculation:
SG   Cmmm, No. 65
Calculated formation energy   -0.37 eV/atom
Raw total energy   -222.215 eV/cell

abc: 12.9599 12.9599 4.1635
angles: 90.00 90.00 112.90
Positions (direct):
Pu (0.0000, 0.0000, 0.0000)
Pu (0.0732, 0.4175, 0.0000)
Pu (0.1634, 0.8366, 0.0000)
Pu (0.3052, 0.3052, 0.0000)
Pu (0.3701, 0.6299, 0.0000)
Pu (0.4175, 0.0732, 0.0000)
Pu (0.5825, 0.9268, 0.0000)
Pu (0.6299, 0.3701, 0.0000)
Pu (0.6948, 0.6948, 0.0000)
Pu (0.8366, 0.1634, 0.0000)
Pu (0.9268, 0.5825, 0.0000)
Bi (0.0600, 0.2176, 0.5000)
Bi (0.1453, 0.6249, 0.5000)
Bi (0.2176, 0.0600, 0.5000)
Bi (0.3751, 0.8547, 0.5000)
Bi (0.5000, 0.5000, 0.5000)
Bi (0.6249, 0.1453, 0.5000)
Bi (0.7824, 0.9400, 0.5000)
Bi (0.8547, 0.3751, 0.5000)
Bi (0.9400, 0.7824, 0.5000)
Pd (0.2500, 0.4487, 0.5000)
Pd (0.4487, 0.2500, 0.5000)
Pd (0.5513, 0.7500, 0.5000)
Pd (0.7500, 0.5513, 0.5000)

Record 5
Below is crystalline Sr3SnI8 at its relaxed geometry, with properties calculated at the PBE-GGA level.

Values from the calculation:
SG   C222, No. 21
Raw total energy   -38.129 eV/cell

abc: 8.4235 8.4235 9.3987
angles: 90.00 90.00 113.62
Positions (direct):
Sr (0.0000, 0.0000, 0.0000)
Sr (0.0000, 0.5000, 0.7485)
Sr (0.5000, 0.0000, 0.2515)
Sn (0.0000, 0.0000, 0.5000)
I (0.2280, 0.7720, 0.5000)
I (0.2305, 0.2614, 0.7442)
I (0.2341, 0.7659, 0.0000)
I (0.2614, 0.2305, 0.2558)
I (0.7386, 0.7695, 0.2558)
I (0.7659, 0.2341, 0.0000)
I (0.7695, 0.7386, 0.7442)
I (0.7720, 0.2280, 0.5000)

Record 6
Below is crystalline Ho2Fe3Ge4 at its relaxed geometry, with properties calculated at the PBE-GGA level.

Values from the calculation:
SG   Fmmm, No. 69
Distance to the lowest polymorph of the same formula   0.011 eV per atom
Calculated formation energy   -0.42 eV/atom
Raw total energy   -56.766 eV/cell

abc: 7.7086 6.6913 5.3338
angles: 78.85 58.39 42.76
Positions (direct):
Ho (0.1357, 0.1357, 0.8643)
Ho (0.8643, 0.8643, 0.1357)
Fe (0.0000, 0.0000, 0.5000)
Fe (0.5000, 0.5000, 0.0000)
Fe (0.5000, 0.5000, 0.5000)
Ge (0.1744, 0.5113, 0.4887)
Ge (0.4887, 0.8256, 0.1744)
Ge (0.5113, 0.1744, 0.8256)
Ge (0.8256, 0.4887, 0.5113)

Question: The highest raw total energy belongs to which entry?
Answer: TiVCrSi

Question: raw total energy of number 5 (Sr3SnI8)?
Answer: -38.129 eV/cell

Question: Look up the raw total energy of the second one.
Answer: -33.211 eV/cell